Cs2Rb17Na2: relaxed, PBE-GGA.

Cell and atoms, written as extended XYZ:
```
21
Lattice="12.517 0.226 1.630 1.458 12.519 1.610 0.233 0.397 12.698" Properties=species:S:1:pos:R:3 pbc="T T T"
Rb 8.621 2.516 9.672
Rb 5.587 10.626 6.265
Rb 3.477 8.636 9.825
Rb 6.259 0.113 0.815
Rb 10.849 12.487 6.188
Rb 4.226 9.235 1.901
Rb 0.657 4.598 8.855
Rb 0.729 6.260 0.805
Rb 10.731 4.506 6.112
Rb 12.737 11.754 14.257
Rb 1.470 1.388 1.680
Rb 1.033 8.319 5.452
Rb 4.989 4.714 11.673
Rb 9.982 3.907 14.036
Rb 3.359 0.656 9.749
Rb 9.218 8.428 4.264
Rb 0.116 0.199 6.349
Na 6.375 0.312 7.164
Na 6.987 6.372 1.620
Cs 9.304 9.025 10.894
Cs 4.904 4.118 5.043
```

## Properties
Total DFT energy (no corrections) ... -19.73 eV per cell
Space group ... No. 12
Spin magnetization ... 0.000 μB per atom
Formation energy ... 0.0506 eV/atom